Material: K3Pu3CrO8
Method: DFT, PBE+U
State: relaxed

Cell lengths 12.203, 6.812, 7.432 Å; angles 90.00, 122.49, 90.00 degrees
Space group C2/m (No. 12)
Unique sites:
K (0.000, 0.000, 0.000) (multiplicity 2)
K (0.250, 0.250, 0.000) (multiplicity 4)
Pu (0.000, 0.500, 0.500) (multiplicity 2)
Pu (0.250, 0.250, 0.500) (multiplicity 4)
Cr (0.000, 0.000, 0.500) (multiplicity 2)
O (0.028, 0.235, 0.338) (multiplicity 8)
O (0.228, 0.500, 0.691) (multiplicity 4)
O (0.246, 0.500, 0.306) (multiplicity 4)

Results
The electronic total energy is -0.3158 Ha/atom. The value obtained for the magnetization is 34.0 Bohr magnetons per cell.